Hf2Nb4S3N3 after structural relaxation, computed with PBE.

Cell lengths 5.772, 5.772, 12.031 Å; angles 103.54, 103.54, 60.31 degrees
Positions (direct):
Hf 0.348 0.531 0.099
Hf 0.469 0.652 0.401
Hf 0.531 0.348 0.599
Hf 0.652 0.469 0.901
N 0.000 0.500 0.000
N 0.349 0.800 0.000
N 0.200 0.651 0.500
N 0.500 0.000 0.500
N 0.800 0.349 0.500
N 0.651 0.200 0.000
Nb 0.701 0.885 0.093
Nb 0.053 0.176 0.094
Nb 0.824 0.947 0.406
Nb 0.115 0.299 0.407
Nb 0.885 0.701 0.593
Nb 0.176 0.053 0.594
Nb 0.947 0.824 0.906
Nb 0.299 0.115 0.907
S 0.761 0.579 0.246
S 0.075 0.925 0.250
S 0.421 0.239 0.254
S 0.579 0.761 0.746
S 0.925 0.075 0.750
S 0.239 0.421 0.754

## Properties
The value obtained for the total energy is -0.340 Ha/atom. For the volume, the calculation gives 13.96 Å³/atom. Its space group is C2/c (15). The value obtained for the total magnetization is 0.000 μB per atom.